Entry 1:
Entry from Alexandria via LeMat-Bulk: a geometry-optimized Co3SiH structure (GGA-PBE).

Cell: 4.5310 4.5310 4.5310 Å, 89.52 89.52 89.52°
Site moments in Bohr magnetons follow the coordinates.
Atoms (fractional coordinates):
1 Co 0.4718 0.7500 0.0282  1.26
2 Si 0.0000 0.0000 0.0000  -0.01
3 H 0.7500 0.7500 0.7500  -0.01
4 Co 0.7500 0.0282 0.4718  1.22
5 H 0.2500 0.2500 0.2500  -0.01
6 Co 0.5282 0.2500 0.9718  1.26
7 Co 0.2500 0.9718 0.5282  1.22
8 Si 0.5000 0.5000 0.5000  -0.01
9 Co 0.9718 0.5282 0.2500  1.47
10 Co 0.0282 0.4718 0.7500  1.47

Calculated values
As for the symmetry: R-3c (167). The volume comes out at 93 Å³ per cell. As for the electronic total energy: -6.01 eV/atom. The total magnetization comes out at 0.782 μB per atom. As for the density: 7.351 g/cm3.

Entry 2:
Entry from Alexandria via LeMat-Bulk: a geometry-optimized MgAlTl2 structure (GGA-PBE).

Cell: 5.8842 5.8842 5.8842 Å, 142.12 125.08 68.65°
Atoms (fractional coordinates):
1 Tl 0.4926 0.4926 0.0000
2 Tl 0.0074 0.0074 0.0000
3 Mg 0.7500 0.2500 0.5000
4 Al 0.2500 0.7500 0.5000

Calculated values
As for the symmetry: Immm (71). The volume comes out at 101 Å³ per cell. The value obtained for the formation energy is 0.160 eV per atom. The total magnetization comes out at 0.000 μB per atom. As for the density: 7.584 g/cm3.

Entry 3:
Entry from Alexandria via LeMat-Bulk: a geometry-optimized Pu6PaGa5 structure (GGA-PBE).

Cell: 4.4488 8.7326 8.2714 Å, 121.86 105.60 90.00°
Site moments in Bohr magnetons follow the coordinates.
Atoms (fractional coordinates):
1 Pu 0.5000 0.7515 0.0000  -4.94
2 Pu 0.1658 0.4150 0.3317  5.18
3 Pa 0.0000 0.0000 0.0000  0.16
4 Pu 0.8342 0.0833 0.6683  5.18
5 Ga 0.0000 0.5000 0.0000  -0.01
6 Pu 0.5000 0.2485 0.0000  -4.94
7 Ga 0.3326 0.8326 0.6652  -0.02
8 Ga 0.6674 0.1674 0.3348  -0.02
9 Ga 0.3316 0.3316 0.6633  -0.01
10 Ga 0.6684 0.6684 0.3367  -0.01
11 Pu 0.1658 0.9167 0.3317  5.18
12 Pu 0.8342 0.5850 0.6683  5.18

Calculated values
As for the symmetry: Immm (71). The volume comes out at 259 Å³ per cell. The value obtained for the formation energy is -0.214 eV per atom. The total magnetization comes out at 0.953 μB per atom. As for the density: 13.109 g/cm3.

Entry 4:
Entry from Alexandria via LeMat-Bulk: a geometry-optimized Tm3Ge2Ru structure (GGA-PBE).

Cell: 4.1563 11.0316 11.6180 Å, 90.00 90.00 90.00°
Atoms (fractional coordinates):
1 Ru 0.7500 0.6320 0.3707
2 Ge 0.2500 0.6893 0.4939
3 Ge 0.2500 0.8107 0.9939
4 Ge 0.7500 0.3107 0.5061
5 Ge 0.7500 0.1893 0.0061
6 Tm 0.7500 0.5540 0.6228
7 Tm 0.7500 0.2064 0.2723
8 Ge 0.7500 0.5011 0.1886
9 Ge 0.7500 0.9989 0.6886
10 Ru 0.7500 0.8680 0.8707
11 Tm 0.2500 0.4460 0.3772
12 Tm 0.2500 0.7936 0.7277
13 Tm 0.2500 0.1262 0.5546
14 Tm 0.7500 0.8738 0.4454
15 Ru 0.2500 0.1320 0.1293
16 Tm 0.2500 0.3738 0.0546
17 Tm 0.2500 0.7064 0.2277
18 Tm 0.7500 0.6262 0.9454
19 Ge 0.2500 0.0011 0.3114
20 Ge 0.2500 0.4989 0.8114
21 Ru 0.2500 0.3680 0.6293
22 Tm 0.7500 0.9460 0.1228
23 Tm 0.7500 0.2936 0.7723
24 Tm 0.2500 0.0540 0.8772

Calculated values
As for the symmetry: Pnma (62). The volume comes out at 533 Å³ per cell. The value obtained for the formation energy is -0.728 eV per atom. The total magnetization comes out at 0.000 μB per atom. As for the density: 9.391 g/cm3.

Entry 5:
Entry from Alexandria via LeMat-Bulk: a geometry-optimized Fe2PCl structure (GGA-PBE).

Cell: 3.6019 3.6019 6.3624 Å, 106.51 106.51 60.01°
Site moments in Bohr magnetons follow the coordinates.
Atoms (fractional coordinates):
1 Fe 0.3729 0.3729 0.6194  1.64
2 P 0.7500 0.7500 0.7500  -0.10
3 Fe 0.1271 0.1271 0.8806  1.64
4 Cl 0.2500 0.2500 0.2500  0.09

Calculated values
As for the symmetry: C2/m (12). The volume comes out at 68 Å³ per cell. For the uncorrected formation energy, the calculation gives -29 kJ/mol of atoms. The total magnetization comes out at 0.832 μB per atom. As for the density: 4.380 g/cm3.

Entry 6:
Entry from Alexandria via LeMat-Bulk: a geometry-optimized In2RePb structure (GGA-PBE).

Cell: 5.0363 5.0363 5.0363 Å, 60.00 60.00 60.00°
Site moments in Bohr magnetons follow the coordinates.
Atoms (fractional coordinates):
1 Pb 0.5000 0.5000 0.5000  0.00
2 In 0.7500 0.7500 0.7500  -0.01
3 Re 0.0000 0.0000 0.0000  0.89
4 In 0.2500 0.2500 0.2500  -0.01

Calculated values
As for the symmetry: Fm-3m (225). The volume comes out at 90 Å³ per cell. The value obtained for the formation energy is 0.911 eV per atom. The total magnetization comes out at 0.263 μB per atom. As for the density: 11.454 g/cm3.

Entry 7:
Entry from Alexandria via LeMat-Bulk: a geometry-optimized Dy3Y2Er structure (GGA-PBE).

Cell: 6.7109 6.7923 9.1538 Å, 98.83 111.50 90.00°
Atoms (fractional coordinates):
1 Dy 0.2483 0.7500 0.0000
2 Y 0.7412 0.6317 0.3515
3 Y 0.6103 0.1317 0.3515
4 Dy 0.7517 0.2500 0.0000
5 Er 0.2695 0.2500 0.0000
6 Y 0.3897 0.8683 0.6485
7 Dy 0.7940 0.4748 0.7051
8 Dy 0.0889 0.0252 0.2949
9 Dy 0.2060 0.5252 0.2949
10 Dy 0.9111 0.9748 0.7051
11 Er 0.7305 0.7500 0.0000
12 Y 0.2588 0.3683 0.6485

Calculated values
As for the symmetry: C2/c (15). The volume comes out at 383 Å³ per cell. The value obtained for the formation energy is 0.143 eV per atom. The total magnetization comes out at 0.000 μB per atom. As for the density: 7.221 g/cm3.

Entry 8:
Entry from Alexandria via LeMat-Bulk: a geometry-optimized LiZn6Ag structure (GGA-PBE).

Cell: 3.9956 5.5061 5.5061 Å, 93.70 90.00 90.00°
Atoms (fractional coordinates):
1 Zn 0.5000 0.0000 0.5000
2 Li 0.5000 0.0000 0.0000
3 Zn 0.5000 0.5000 0.0000
4 Zn 0.0000 0.7564 0.7564
5 Zn 0.0000 0.2436 0.2436
6 Ag 0.5000 0.5000 0.5000
7 Zn 0.0000 0.7579 0.2421
8 Zn 0.0000 0.2421 0.7579

Calculated values
As for the symmetry: Cmmm (65). The volume comes out at 121 Å³ per cell. The value obtained for the formation energy is -0.066 eV per atom. The total magnetization comes out at 0.000 μB per atom. As for the density: 6.968 g/cm3.

Q: Among the records above, which one has the highest total magnetization?
A: Pu6PaGa5

Q: Which value of total magnetization does entry 6 give?
A: 0.263 μB per atom